Here is KTiIn after structural relaxation from Alexandria via LeMat-Bulk. Energies are from GGA-PBE.

Results
space-group type: No. 216
electronic total energy: -2.977 eV/atom
ΔE_f: 0.933 eV per atom

Geometry as POSCAR:
```
KTiIn
1.0
0.000 3.559 3.559
3.559 0.000 3.559
3.559 3.559 0.000
K Ti In
1 1 1
Direct
0.250 0.250 0.250 K
0.500 0.500 0.500 Ti
0.750 0.750 0.750 In
```